Record 1
Computed, not measured: a relaxed structure of Ba2DyInTe5 at the GGA-PBE level of DFT.

Final energy: -4.2892 eV/atom
Theoretical density: 5.89 g cm⁻³

a = 10.4924 Å, b = 10.4924 Å, c = 14.3043 Å
α = 90.00°, β = 90.00°, γ = 154.79°
Element x y z (fractional)
Dy: 0.2089 0.7911 0.9821
Ba: 0.1307 0.8693 0.6846
Te: 0.4959 0.5041 0.2384
Te: 0.9495 0.0505 0.4468
Te: 0.0505 0.9495 0.9468
Te: 0.7079 0.2921 0.8393
Dy: 0.7911 0.2089 0.4821
Te: 0.5041 0.4959 0.7384
Te: 0.2921 0.7079 0.3393
Te: 0.6903 0.3097 0.1344
Ba: 0.8800 0.1200 0.8181
Ba: 0.8693 0.1307 0.1846
Te: 0.3097 0.6903 0.6344
Te: 0.3551 0.6449 0.9989
In: 0.4438 0.5562 0.5656
Ba: 0.1200 0.8800 0.3181
In: 0.5562 0.4438 0.0656
Te: 0.6449 0.3551 0.4989

***

Record 2
Computed, not measured: a relaxed structure of BaLaDy at the GGA-PBE level of DFT.

Final energy: -2.9695 eV/atom
Theoretical density: 5.18 g cm⁻³

a = 5.8355 Å, b = 5.8355 Å, c = 5.8355 Å
α = 60.00°, β = 60.00°, γ = 60.00°
Element x y z (fractional)
La: 0.0000 0.0000 0.0000
Dy: 0.7500 0.7500 0.7500
Ba: 0.2500 0.2500 0.2500

***

Record 3
Computed, not measured: a relaxed structure of BaLiDyTe3 at the GGA-PBE level of DFT.

Theoretical density: 5.87 g cm⁻³
Energy above the most stable polymorph in this dataset: 0.00 eV per formula unit

a = 11.4738 Å, b = 4.5361 Å, c = 15.0019 Å
α = 90.00°, β = 90.00°, γ = 90.00°
Element x y z (fractional)
Dy: 0.0035 0.2500 0.2506
Ba: 0.7471 0.7500 0.5003
Li: 0.2530 0.7500 0.2788
Li: 0.7530 0.7500 0.2212
Te: 0.5532 0.2500 0.6144
Te: 0.9405 0.2500 0.6136
Te: 0.0595 0.7500 0.3864
Li: 0.7470 0.2500 0.7212
Dy: 0.5035 0.2500 0.2494
Dy: 0.9965 0.7500 0.7494
Te: 0.7531 0.2500 0.3231
Dy: 0.4965 0.7500 0.7506
Ba: 0.2471 0.7500 0.9997
Te: 0.2469 0.7500 0.6769
Te: 0.2531 0.2500 0.1769
Ba: 0.7529 0.2500 0.0003
Te: 0.4468 0.7500 0.3856
Te: 0.4405 0.2500 0.8864
Te: 0.9468 0.7500 0.1144
Ba: 0.2529 0.2500 0.4997
Te: 0.7469 0.7500 0.8231
Te: 0.0532 0.2500 0.8856
Te: 0.5595 0.7500 0.1136
Li: 0.2470 0.2500 0.7788

***

Record 4
Computed, not measured: a relaxed structure of BaLiDyTe3 at the GGA-PBE level of DFT.

Theoretical density: 5.88 g cm⁻³
Energy above the most stable polymorph in this dataset: 0.00 eV per formula unit

a = 7.8152 Å, b = 7.8152 Å, c = 11.4794 Å
α = 90.00°, β = 90.00°, γ = 146.25°
Element x y z (fractional)
Te: 0.5720 0.4280 0.2500
Te: 0.8624 0.1376 0.0549
Li: 0.0312 0.9688 0.7500
Ba: 0.7500 0.2500 0.7500
Dy: 0.5000 0.5000 0.5000
Dy: 0.5000 0.5000 0.0000
Te: 0.1376 0.8624 0.9451
Ba: 0.2500 0.7500 0.2500
Te: 0.1376 0.8624 0.5549
Li: 0.9688 0.0312 0.2500
Te: 0.4280 0.5720 0.7500
Te: 0.8624 0.1376 0.4451

***

Record 5
Computed, not measured: a relaxed structure of BaLiDyTe3 at the GGA-PBE level of DFT.

Theoretical density: 5.69 g cm⁻³
Energy above the most stable polymorph in this dataset: 0.14 eV per formula unit

a = 9.9049 Å, b = 9.9049 Å, c = 9.4970 Å
α = 103.36°, β = 103.36°, γ = 26.41°
Element x y z (fractional)
Te: 0.6734 0.6734 0.8053
Te: 0.3310 0.3310 0.6372
Te: 0.0000 0.0000 0.5000
Li: 0.4934 0.4934 0.3016
Ba: 0.8639 0.8639 0.9334
Ba: 0.1361 0.1361 0.0666
Te: 0.6690 0.6690 0.3628
Te: 0.3266 0.3266 0.1947
Li: 0.5066 0.5066 0.6984
Dy: 0.8345 0.8345 0.4166
Dy: 0.1655 0.1655 0.5834
Te: 0.5000 0.5000 0.0000

***

Record 6
Computed, not measured: a relaxed structure of BaDyMg at the GGA-PBE level of DFT.

Theoretical density: 4.17 g cm⁻³
Energy above the most stable polymorph in this dataset: 0.00 eV per formula unit

a = 5.6721 Å, b = 5.6721 Å, c = 5.6721 Å
α = 60.00°, β = 60.00°, γ = 60.00°
Element x y z (fractional)
Ba: 0.2500 0.2500 0.2500
Mg: 0.0000 0.0000 0.0000
Dy: 0.7500 0.7500 0.7500

***

Record 7
Computed, not measured: a relaxed structure of BaDyMgTe3 at the GGA-PBE level of DFT.

Final energy: -4.1547 eV/atom
Theoretical density: 5.82 g cm⁻³

a = 8.1210 Å, b = 8.1210 Å, c = 11.5205 Å
α = 90.00°, β = 90.00°, γ = 147.91°
Element x y z (fractional)
Te: 0.1358 0.8642 0.0562
Ba: 0.2589 0.7411 0.7500
Mg: 0.0289 0.9711 0.2500
Mg: 0.9711 0.0289 0.7500
Dy: 0.5000 0.5000 0.5000
Te: 0.5806 0.4194 0.7500
Dy: 0.5000 0.5000 0.0000
Ba: 0.7411 0.2589 0.2500
Te: 0.1358 0.8642 0.4438
Te: 0.8642 0.1358 0.9438
Te: 0.8642 0.1358 0.5562
Te: 0.4194 0.5806 0.2500

***

Record 8
Computed, not measured: a relaxed structure of BaDyMo at the GGA-PBE level of DFT.

Theoretical density: 6.83 g cm⁻³
Energy above the most stable polymorph in this dataset: 0.00 eV per formula unit

a = 5.1443 Å, b = 5.1443 Å, c = 5.1443 Å
α = 60.00°, β = 60.00°, γ = 60.00°
Element x y z (fractional)
Dy: 0.7500 0.7500 0.7500
Ba: 0.2500 0.2500 0.2500
Mo: 0.0000 0.0000 0.0000

***

Record 9
Computed, not measured: a relaxed structure of BaDyMo at the GGA-PBE level of DFT.

Theoretical density: 6.76 g cm⁻³
Energy above the most stable polymorph in this dataset: 1.68 eV per formula unit

a = 5.1608 Å, b = 5.1608 Å, c = 5.1608 Å
α = 60.00°, β = 60.00°, γ = 60.00°
Element x y z (fractional)
Dy: 0.2500 0.2500 0.2500
Mo: 0.7500 0.7500 0.7500
Ba: 0.0000 0.0000 0.0000

***

Record 10
Computed, not measured: a relaxed structure of BaDyNO at the GGA-PBE level of DFT.

Theoretical density: 6.29 g cm⁻³
Energy above the most stable polymorph in this dataset: 0.28 eV per formula unit

a = 3.9867 Å, b = 6.1315 Å, c = 7.1208 Å
α = 90.00°, β = 90.00°, γ = 90.00°
Element x y z (fractional)
Dy: 0.0000 0.9918 0.6561
N: 0.0000 0.3473 0.6269
Ba: 0.5000 0.9869 0.1790
Dy: 0.0000 0.4918 0.3439
O: 0.5000 0.4280 0.2005
O: 0.5000 0.9280 0.7995
N: 0.0000 0.8473 0.3731
Ba: 0.5000 0.4869 0.8210

***

Record 11
Computed, not measured: a relaxed structure of BaDyNO at the GGA-PBE level of DFT.

Theoretical density: 5.69 g cm⁻³
Energy above the most stable polymorph in this dataset: 1.58 eV per formula unit

a = 4.6536 Å, b = 4.6536 Å, c = 8.8866 Å
α = 90.00°, β = 90.00°, γ = 90.00°
Element x y z (fractional)
O: 0.2500 0.7500 0.0000
N: 0.7500 0.7500 0.5449
Ba: 0.2500 0.2500 0.1151
Dy: 0.2500 0.7500 0.5000
Ba: 0.7500 0.7500 0.8849
Dy: 0.7500 0.2500 0.5000
O: 0.7500 0.2500 0.0000
N: 0.2500 0.2500 0.4551

***

Record 12
Computed, not measured: a relaxed structure of BaDyNO at the GGA-PBE level of DFT.

Theoretical density: 6.44 g cm⁻³
Energy above the most stable polymorph in this dataset: 0.00 eV per formula unit

a = 5.7656 Å, b = 7.0158 Å, c = 8.4058 Å
α = 90.00°, β = 90.00°, γ = 90.00°
Element x y z (fractional)
O: 0.5531 0.0501 0.6538
N: 0.6206 0.6034 0.9063
Dy: 0.5099 0.4123 0.1082
N: 0.1206 0.3966 0.0937
O: 0.0531 0.9499 0.3462
Dy: 0.0099 0.5877 0.8918
Ba: 0.5188 0.4232 0.6425
Ba: 0.0188 0.5768 0.3575
Dy: 0.5099 0.9123 0.8918
N: 0.6206 0.1034 0.0937
O: 0.5531 0.5501 0.3462
Ba: 0.0188 0.0768 0.6425
N: 0.1206 0.8966 0.9063
O: 0.0531 0.4499 0.6538
Ba: 0.5188 0.9232 0.3575
Dy: 0.0099 0.0877 0.1082